The following is a DFT calculation (GGA+U) of crystalline Ac3Mn2O7 at its relaxed geometry.

Summary:
As for the space group: I4/mmm (139). The value obtained for the total energy is -7.86 eV per atom.

Unit cell a=4.0206 b=4.0206 c=11.1603 alpha=100.38 beta=100.38 gamma=90.00
Each line ends with the local moment (μB).
Fractional positions:
Ac1 0.3199 0.3199 0.6398  0.01
Ac2 0.6801 0.6801 0.3602  0.01
Ac3 0.5000 0.5000 0.0000  0.01
O1 0.9015 0.4015 0.8030  0.00
O2 0.4015 0.9015 0.8030  0.00
O3 0.0985 0.5985 0.1970  0.00
O4 0.0000 0.0000 0.0000  0.04
O5 0.7943 0.7943 0.5885  0.03
O6 0.2057 0.2057 0.4115  0.03
O7 0.5985 0.0985 0.1970  0.00
Mn1 0.9032 0.9032 0.8064  4.28
Mn2 0.0968 0.0968 0.1936  4.28